A.
# CaCuP2O7

Crystalline CaCuP2O7 at its relaxed geometry (PBE, Alexandria via LeMat-Bulk).

Unit cell a=6.145 b=6.480 c=7.347 alpha=98.46 beta=89.22 gamma=111.48
Atoms (fractional coordinates):
O1 0.109 0.850 0.490
P1 0.243 0.782 0.628
Cu1 0.735 0.120 0.832
O2 0.891 0.150 0.510
O3 0.362 0.624 0.545
O4 0.332 0.586 0.140
O5 0.668 0.414 0.860
Ca1 0.710 0.726 0.370
O6 0.410 0.002 0.743
O7 0.590 0.998 0.257
O8 0.067 0.644 0.770
O9 0.252 0.189 0.202
P2 0.757 0.218 0.372
Cu2 0.265 0.880 0.168
O10 0.638 0.376 0.455
O11 0.748 0.811 0.798
O12 0.933 0.356 0.230
P3 0.842 0.658 0.883
O13 0.065 0.254 0.914
Ca2 0.290 0.274 0.630
P4 0.158 0.342 0.117
O14 0.935 0.746 0.086

Calculated values
symmetry = No. 2
total moment = 2.0 Bohr magnetons per cell
V = 12.227 Å³ per atom

***

B.
# CaCuP2O7

Crystalline CaCuP2O7 at its relaxed geometry (PBE, Alexandria via LeMat-Bulk).

Unit cell a=8.141 b=5.294 c=13.431 alpha=68.60 beta=90.00 gamma=90.00
Atoms (fractional coordinates):
O1 0.833 0.624 0.971
Cu1 0.359 0.317 0.390
O2 0.458 0.819 0.208
O3 0.102 0.749 0.100
O4 0.311 0.884 0.404
Cu2 0.859 0.683 0.110
O5 0.894 0.311 0.452
P1 0.202 0.674 0.016
Ca1 0.682 0.015 0.274
O6 0.602 0.251 0.400
O7 0.689 0.116 0.596
O8 0.106 0.689 0.548
Ca2 0.318 0.985 0.726
O9 0.622 0.670 0.765
P2 0.472 0.588 0.166
O10 0.378 0.330 0.235
O11 0.398 0.749 0.600
P3 0.702 0.326 0.484
O12 0.122 0.330 0.735
Ca3 0.182 0.985 0.226
O13 0.042 0.819 0.708
O14 0.851 0.500 0.656
P4 0.798 0.326 0.984
P5 0.028 0.588 0.666
O15 0.898 0.251 0.900
O16 0.167 0.376 0.029
O17 0.878 0.670 0.265
O18 0.958 0.181 0.292
Cu3 0.641 0.683 0.610
P6 0.528 0.412 0.834
O19 0.606 0.311 0.952
O20 0.542 0.181 0.792
Cu4 0.141 0.317 0.890
O21 0.149 0.500 0.344
O22 0.649 0.500 0.156
O23 0.351 0.500 0.844
P7 0.972 0.412 0.334
Ca4 0.818 0.015 0.774
O24 0.667 0.624 0.471
P8 0.298 0.674 0.516
O25 0.811 0.116 0.096
O26 0.333 0.376 0.529
O27 0.394 0.689 0.048
O28 0.189 0.884 0.904

Calculated values
symmetry = No. 14
total moment = 4.2 Bohr magnetons per cell
V = 12.248 Å³ per atom

***

C.
# CaCuP2O7

Crystalline CaCuP2O7 at its relaxed geometry (PBE, Alexandria via LeMat-Bulk).

Unit cell a=6.284 b=6.433 c=7.204 alpha=111.09 beta=85.27 gamma=97.43
Atoms (fractional coordinates):
Ca1 0.155 0.276 0.863
Ca2 0.845 0.724 0.137
O1 0.409 0.266 0.602
O2 0.217 0.608 0.514
O3 0.783 0.392 0.486
O4 0.015 0.092 0.264
P1 0.836 0.235 0.263
O5 0.356 0.392 0.177
O6 0.985 0.908 0.736
O7 0.904 0.387 0.146
O8 0.746 0.215 0.752
O9 0.361 0.938 0.816
P2 0.164 0.765 0.737
O10 0.096 0.613 0.854
Cu1 0.332 0.104 0.247
O11 0.254 0.785 0.248
O12 0.644 0.608 0.823
O13 0.639 0.062 0.184
O14 0.591 0.734 0.398
P3 0.366 0.637 0.328
Cu2 0.668 0.896 0.753
P4 0.634 0.363 0.672

Calculated values
symmetry = No. 2
total moment = 1.9 Bohr magnetons per cell
V = 12.238 Å³ per atom

***

Most stable of them? B.

***

A.
# Sr4CaYCu6Pb4O16

Crystalline Sr4CaYCu6Pb4O16 at its relaxed geometry (PBE, Alexandria via LeMat-Bulk).

Unit cell a=5.405 b=5.405 c=16.476 alpha=99.44 beta=99.44 gamma=90.00
Atoms (fractional coordinates):
Cu1 0.250 0.250 0.500
O1 0.374 0.874 0.749
O2 0.874 0.374 0.749
O3 0.692 0.692 0.384
O4 0.302 0.302 0.094
O5 0.126 0.626 0.251
O6 0.698 0.698 0.906
O7 0.698 0.207 0.906
Pb1 0.194 0.694 0.387
Y1 0.500 0.500 0.000
Pb2 0.694 0.194 0.387
O8 0.793 0.302 0.094
O9 0.793 0.793 0.094
Pb3 0.806 0.306 0.613
Sr1 0.891 0.891 0.782
O10 0.808 0.808 0.616
Sr2 0.610 0.610 0.220
Sr3 0.390 0.390 0.780
Ca1 0.000 0.000 0.000
Cu2 0.750 0.750 0.500
O11 0.302 0.793 0.094
Cu3 0.553 0.053 0.106
O12 0.207 0.698 0.906
Cu4 0.947 0.447 0.894
O13 0.626 0.126 0.251
Cu5 0.447 0.947 0.894
Sr4 0.109 0.109 0.218
O14 0.308 0.308 0.616
Cu6 0.053 0.553 0.106
Pb4 0.306 0.806 0.613
O15 0.207 0.207 0.906
O16 0.192 0.192 0.384

Calculated values
symmetry = No. 139
total moment = 0.0 Bohr magnetons per cell
V = 14.633 Å³ per atom

***

B.
# Sr4CaYCu6Pb4O16

Crystalline Sr4CaYCu6Pb4O16 at its relaxed geometry (PBE, Alexandria via LeMat-Bulk).

Unit cell a=5.430 b=5.429 c=15.973 alpha=90.00 beta=90.00 gamma=89.39
Atoms (fractional coordinates):
Cu1 0.500 0.500 0.500
O1 0.955 0.956 0.385
Ca1 0.000 0.000 0.000
Cu2 0.501 0.000 0.894
O2 0.995 0.506 0.749
Sr1 0.501 0.501 0.780
O3 0.493 0.005 0.251
O4 0.254 0.254 0.093
Pb1 0.491 0.010 0.612
Cu3 0.001 0.501 0.894
Pb2 0.010 0.491 0.612
Pb3 0.509 0.990 0.388
Cu4 0.499 0.000 0.106
O5 0.045 0.044 0.615
Sr2 0.000 0.000 0.782
Cu5 0.000 0.000 0.500
O6 0.746 0.746 0.907
O7 0.744 0.744 0.095
Pb4 0.990 0.509 0.388
O8 0.507 0.995 0.749
Sr3 0.499 0.499 0.220
Sr4 0.000 0.000 0.218
O9 0.456 0.457 0.615
O10 0.746 0.255 0.905
O11 0.745 0.254 0.095
Y1 0.500 0.500 0.000
O12 0.254 0.745 0.095
Cu6 0.999 0.499 0.106
O13 0.005 0.494 0.251
O14 0.544 0.543 0.385
O15 0.255 0.746 0.905
O16 0.256 0.256 0.905

Calculated values
symmetry = No. 12
total moment = 0.0 Bohr magnetons per cell
V = 14.714 Å³ per atom

***

Most stable of them? B.

***

A.
# Ca2CuRhO6

Crystalline Ca2CuRhO6 at its relaxed geometry (PBE, Alexandria via LeMat-Bulk).

Unit cell a=6.501 b=6.501 c=6.374 alpha=88.28 beta=88.28 gamma=90.72
Atoms (fractional coordinates):
Rh1 0.999 0.502 0.239
Cu1 0.686 0.314 0.500
O1 0.923 0.793 0.204
Cu2 0.337 0.663 0.000
Ca1 0.613 0.759 0.381
O2 0.292 0.622 0.292
O3 0.123 0.483 0.954
O4 0.775 0.926 0.681
O5 0.207 0.077 0.796
Ca2 0.898 0.102 0.000
O6 0.378 0.708 0.708
O7 0.883 0.521 0.536
O8 0.517 0.877 0.046
O9 0.074 0.225 0.319
O10 0.479 0.117 0.464
O11 0.612 0.284 0.786
Ca3 0.241 0.387 0.619
Rh2 0.498 0.001 0.761
Ca4 0.100 0.900 0.500
O12 0.716 0.388 0.214

Calculated values
symmetry = No. 5
total moment = 4.0 Bohr magnetons per cell
V = 13.455 Å³ per atom

***

B.
# Ca2CuRhO6

Crystalline Ca2CuRhO6 at its relaxed geometry (PBE, Alexandria via LeMat-Bulk).

Unit cell a=5.391 b=5.638 c=7.632 alpha=90.00 beta=89.87 gamma=90.00
Atoms (fractional coordinates):
Cu1 0.500 0.000 0.000
Ca1 0.984 0.064 0.749
O1 0.201 0.195 0.451
O2 0.401 0.968 0.749
O3 0.190 0.205 0.051
O4 0.310 0.705 0.449
O5 0.599 0.032 0.251
Ca2 0.484 0.436 0.249
O6 0.810 0.795 0.949
Ca3 0.016 0.936 0.251
O7 0.799 0.805 0.549
O8 0.099 0.468 0.751
O9 0.299 0.695 0.049
O10 0.690 0.295 0.551
Rh1 0.500 0.000 0.500
Rh2 0.000 0.500 0.000
O11 0.701 0.305 0.951
Cu2 0.000 0.500 0.500
O12 0.901 0.532 0.249
Ca4 0.516 0.564 0.751

Calculated values
symmetry = No. 14
total moment = 7.2 Bohr magnetons per cell
V = 11.598 Å³ per atom

***

Most stable of them? B.

***

A.
# Ca2CuSbO6

Crystalline Ca2CuSbO6 at its relaxed geometry (PBE, Alexandria via LeMat-Bulk).

Unit cell a=7.493 b=5.807 c=6.056 alpha=74.25 beta=90.00 gamma=90.00
Atoms (fractional coordinates):
O1 0.750 0.569 0.939
Ca1 0.750 0.932 0.045
O2 0.250 0.094 0.560
O3 0.963 0.350 0.314
O4 0.463 0.650 0.686
Sb1 0.000 0.000 0.500
O5 0.945 0.123 0.764
O6 0.537 0.350 0.314
O7 0.055 0.877 0.236
O8 0.445 0.877 0.236
Ca2 0.250 0.068 0.955
Ca3 0.250 0.536 0.417
Cu1 0.000 0.500 0.000
Ca4 0.750 0.464 0.583
O9 0.037 0.650 0.686
Cu2 0.500 0.500 0.000
Sb2 0.500 0.000 0.500
O10 0.555 0.123 0.764
O11 0.250 0.431 0.061
O12 0.750 0.906 0.440

Calculated values
symmetry = No. 11
total moment = 0.0 Bohr magnetons per cell
V = 12.680 Å³ per atom

***

B.
# Ca2CuSbO6

Crystalline Ca2CuSbO6 at its relaxed geometry (PBE, Alexandria via LeMat-Bulk).

Unit cell a=4.954 b=5.337 c=9.712 alpha=90.00 beta=90.62 gamma=90.00
Atoms (fractional coordinates):
Cu1 0.500 0.000 0.000
Cu2 0.000 0.500 0.500
Ca1 0.959 0.046 0.753
O1 0.106 0.472 0.807
O2 0.736 0.288 0.575
O3 0.236 0.212 0.075
O4 0.764 0.788 0.925
O5 0.394 0.972 0.693
Ca2 0.541 0.546 0.747
O6 0.606 0.028 0.307
Sb1 0.000 0.500 0.000
Ca3 0.459 0.454 0.253
O7 0.894 0.528 0.193
O8 0.264 0.712 0.425
Sb2 0.500 0.000 0.500
Ca4 0.041 0.954 0.247
O9 0.801 0.767 0.569
O10 0.301 0.733 0.069
O11 0.199 0.233 0.431
O12 0.699 0.267 0.931

Calculated values
symmetry = No. 14
total moment = 0.0 Bohr magnetons per cell
V = 12.838 Å³ per atom

***

Most stable of them? B.

***

A.
# SrCaCuO3

Crystalline SrCaCuO3 at its relaxed geometry (PBE, Alexandria via LeMat-Bulk).

Unit cell a=3.900 b=6.728 c=6.850 alpha=104.71 beta=90.00 gamma=106.85
Atoms (fractional coordinates):
Cu1 0.001 0.003 0.267
O1 0.844 0.689 0.183
Sr1 0.647 0.294 0.075
Cu2 0.999 0.997 0.733
Ca1 0.352 0.703 0.428
O2 0.840 0.680 0.660
O3 0.160 0.320 0.340
Ca2 0.648 0.297 0.572
O4 0.501 0.001 0.267
Sr2 0.353 0.706 0.925
O5 0.499 0.999 0.733
O6 0.156 0.311 0.817

Calculated values
symmetry = No. 12
total moment = 0.0 Bohr magnetons per cell
V = 13.822 Å³ per atom

***

B.
# SrCaCuO3

Crystalline SrCaCuO3 at its relaxed geometry (PBE, Alexandria via LeMat-Bulk).

Unit cell a=6.736 b=6.736 c=6.736 alpha=150.56 beta=146.21 gamma=45.41
Atoms (fractional coordinates):
O1 0.994 0.994 0.000
O2 0.660 0.160 0.500
Cu1 0.500 0.000 0.500
Ca1 0.853 0.353 0.500
Sr1 0.149 0.649 0.500
O3 0.345 0.845 0.500

Calculated values
symmetry = No. 44
total moment = 0.0 Bohr magnetons per cell
V = 13.879 Å³ per atom

***

Most stable of them? A.

***

A.
# SrCa2CuO

Crystalline SrCa2CuO at its relaxed geometry (PBE, Alexandria via LeMat-Bulk).

Unit cell a=4.717 b=4.717 c=5.330 alpha=90.00 beta=90.00 gamma=90.00
Atoms (fractional coordinates):
Ca1 0.000 0.500 0.000
O1 0.000 0.000 0.000
Cu1 0.500 0.500 0.500
Sr1 0.000 0.000 0.500
Ca2 0.500 0.000 0.000

Calculated values
symmetry = No. 123
total moment = 0.0 Bohr magnetons per cell
V = 23.720 Å³ per atom

***

B.
# SrCa2CuO

Crystalline SrCa2CuO at its relaxed geometry (PBE, Alexandria via LeMat-Bulk).

Unit cell a=6.509 b=3.698 c=6.509 alpha=90.00 beta=90.00 gamma=90.00
Atoms (fractional coordinates):
O1 0.000 0.500 0.000
Ca1 0.000 0.000 0.500
Cu1 0.000 0.000 0.000
Ca2 0.500 0.000 0.000
Sr1 0.500 0.500 0.500

Calculated values
symmetry = No. 123
total moment = 0.0 Bohr magnetons per cell
V = 31.340 Å³ per atom

***

Most stable of them? A.

***

A.
# CaCuOs2

Crystalline CaCuOs2 at its relaxed geometry (PBE, Alexandria via LeMat-Bulk).

Unit cell a=4.555 b=4.555 c=5.797 alpha=82.22 beta=82.22 gamma=36.57
Atoms (fractional coordinates):
Os1 0.999 0.999 0.976
Os2 0.741 0.741 0.835
Ca1 0.497 0.497 0.488
Cu1 0.262 0.262 0.201

Calculated values
symmetry = No. 8
total moment = 0.0 Bohr magnetons per cell
V = 17.734 Å³ per atom

***

B.
# CaCuOs2

Crystalline CaCuOs2 at its relaxed geometry (PBE, Alexandria via LeMat-Bulk).

Unit cell a=4.225 b=2.815 c=5.756 alpha=75.82 beta=90.00 gamma=90.00
Atoms (fractional coordinates):
Cu1 0.500 0.934 0.758
Os1 0.500 0.225 0.175
Os2 0.000 0.796 0.031
Ca1 0.000 0.545 0.535

Calculated values
symmetry = No. 38
total moment = 0.0 Bohr magnetons per cell
V = 16.594 Å³ per atom

***

C.
# CaCuOs2

Crystalline CaCuOs2 at its relaxed geometry (PBE, Alexandria via LeMat-Bulk).

Unit cell a=4.486 b=4.486 c=4.486 alpha=60.00 beta=60.00 gamma=60.00
Atoms (fractional coordinates):
Cu1 0.750 0.750 0.750
Ca1 0.500 0.500 0.500
Os1 0.250 0.250 0.250
Os2 0.000 0.000 0.000

Calculated values
symmetry = No. 216
total moment = 0.0 Bohr magnetons per cell
V = 15.955 Å³ per atom

***

D.
# CaCuOs2

Crystalline CaCuOs2 at its relaxed geometry (PBE, Alexandria via LeMat-Bulk).

Unit cell a=5.364 b=5.364 c=5.364 alpha=138.80 beta=138.80 gamma=59.68
Atoms (fractional coordinates):
Os1 0.500 0.500 0.000
Cu1 0.750 0.250 0.500
Ca1 0.250 0.750 0.500
Os2 0.000 0.000 0.000

Calculated values
symmetry = No. 139
total moment = 0.0 Bohr magnetons per cell
V = 16.572 Å³ per atom

***

Most stable of them? B.